1.
This record from Alexandria describes LaIn2Co after structural relaxation. The functional is GGA-PBE.

a b c (Å): 4.9824 4.9824 9.7137
angles (deg): 75.14 75.14 90.00
Last column: magnetic moment on the atom in μB.
Positions (direct):
In1 0.4892 0.1250 0.2500  0.00
In2 0.2608 0.6250 0.2500  0.00
In3 0.3750 0.5108 0.7500  0.00
In4 0.8750 0.7392 0.7500  0.01
Co1 0.5000 0.5000 0.0000  1.47
Co2 0.2500 0.7500 0.5000  1.45
La1 0.0000 0.0000 0.0000  0.00
La2 0.7500 0.2500 0.5000  0.00

SG: I-42d, No. 122
Formation energy (eV per atom): 0.193
Crystal system: tetragonal

***

2.
This record from Alexandria describes Ba3CdIn3 after structural relaxation. The functional is GGA-PBE.

a b c (Å): 5.2762 6.7655 16.4641
angles (deg): 86.95 80.78 67.05
Positions (direct):
Ba1 0.5446 0.2960 0.6147
Ba2 0.4554 0.7040 0.3853
Ba3 0.2457 0.2754 0.2333
Ba4 0.7543 0.7246 0.7667
Ba5 0.3930 0.2898 0.9242
Ba6 0.6070 0.7102 0.0758
Cd1 0.7517 0.0993 0.3974
Cd2 0.2483 0.9007 0.6026
In1 0.8691 0.7226 0.5392
In2 0.1309 0.2774 0.4608
In3 0.1019 0.8755 0.9207
In4 0.8981 0.1245 0.0793
In5 0.9531 0.8620 0.2317
In6 0.0469 0.1380 0.7683

SG: C2/m, No. 12
Formation energy (eV per atom): -0.390
Crystal system: monoclinic

***

3.
This record from Alexandria describes ZnGaGe after structural relaxation. The functional is GGA-PBE.

a b c (Å): 4.3480 4.3480 4.3480
angles (deg): 60.00 60.00 60.00
Positions (direct):
Ge1 0.0000 0.0000 0.0000
Zn1 0.2500 0.2500 0.2500
Ga1 0.5000 0.5000 0.5000

ΔE to the lowest computed polymorph (eV/atom): 0.0017
SG: F-43m, No. 216
Formation energy (eV per atom): 0.128
Crystal system: cubic

***

4.
This record from Alexandria describes FeHPd4 after structural relaxation. The functional is GGA-PBE.

a b c (Å): 4.7961 4.6897 7.3996
angles (deg): 86.41 71.16 90.02
Last column: magnetic moment on the atom in μB.
Positions (direct):
Fe1 0.8295 0.2505 0.0001  3.23
Fe2 0.1705 0.7495 0.9999  3.23
H1 0.5000 0.5000 0.5000  0.00
H2 0.0000 0.0000 0.5000  0.00
Pd1 0.5700 0.7352 0.1892  0.23
Pd2 0.7591 0.7650 0.8108  0.23
Pd3 0.4300 0.2648 0.8108  0.23
Pd4 0.2409 0.2350 0.1892  0.23
Pd5 0.9680 0.7170 0.3814  0.12
Pd6 0.3494 0.7830 0.6185  0.12
Pd7 0.0320 0.2830 0.6186  0.12
Pd8 0.6506 0.2170 0.3815  0.12

ΔE to the lowest computed polymorph (eV/atom): 0.0000
SG: P-1, No. 2
Crystal system: triclinic

***

5.
This record from Alexandria describes Zn5Pt after structural relaxation. The functional is GGA-PBE.

a b c (Å): 4.7540 5.4812 8.1827
angles (deg): 90.00 90.00 125.05
Positions (direct):
Zn1 0.7503 0.0004 0.2500
Zn2 0.2497 0.9996 0.7500
Zn3 0.2503 0.0003 0.4159
Zn4 0.7497 0.9997 0.9159
Zn5 0.7497 0.9997 0.5841
Zn6 0.2503 0.0003 0.0841
Zn7 0.2501 0.5002 0.4165
Zn8 0.7499 0.4998 0.9165
Zn9 0.7499 0.4998 0.5835
Zn10 0.2501 0.5002 0.0835
Pt1 0.7503 0.5005 0.2500
Pt2 0.2497 0.4995 0.7500

SG: C2/m, No. 12
Formation energy (eV per atom): -0.237
Crystal system: monoclinic

***

6.
This record from Alexandria describes SrPt2Br after structural relaxation. The functional is GGA-PBE.

a b c (Å): 3.2312 4.7638 5.7474
angles (deg): 90.00 90.00 90.00
Positions (direct):
Sr1 0.5000 0.5000 0.2500
Br1 0.5000 0.5000 0.7500
Pt1 0.0000 0.0000 0.0109
Pt2 0.0000 0.0000 0.4891

ΔE to the lowest computed polymorph (eV/atom): 0.5679
SG: Pmmm, No. 47
Crystal system: orthorhombic

***

7.
This record from Alexandria describes La2AgBi2 after structural relaxation. The functional is GGA-PBE.

a b c (Å): 8.7147 8.7147 4.3719
angles (deg): 90.00 90.00 90.00
Positions (direct):
Bi1 0.1620 0.6620 0.5000
Bi2 0.6620 0.8380 0.5000
Bi3 0.8380 0.3380 0.5000
Bi4 0.3380 0.1620 0.5000
Ag1 0.0000 0.0000 0.0000
Ag2 0.5000 0.5000 0.0000
La1 0.3527 0.8527 0.0000
La2 0.8527 0.6473 0.0000
La3 0.6473 0.1473 0.0000
La4 0.1473 0.3527 0.0000

ΔE to the lowest computed polymorph (eV/atom): 0.1092
SG: P4/mbm, No. 127
Formation energy (eV per atom): -0.510
Crystal system: tetragonal

***

8.
This record from Alexandria describes TmZn3Ag3 after structural relaxation. The functional is GGA-PBE.

a b c (Å): 8.6596 8.6596 8.6596
angles (deg): 60.00 60.00 60.00
Positions (direct):
Tm1 0.2500 0.2500 0.2500
Tm2 0.7500 0.7500 0.7500
Zn1 0.1474 0.8526 0.8526
Zn2 0.1474 0.8526 0.1474
Zn3 0.1474 0.1474 0.8526
Zn4 0.8526 0.1474 0.8526
Zn5 0.8526 0.1474 0.1474
Zn6 0.8526 0.8526 0.1474
Ag1 0.3417 0.6583 0.3417
Ag2 0.3417 0.6583 0.6583
Ag3 0.3417 0.3417 0.6583
Ag4 0.6583 0.3417 0.6583
Ag5 0.6583 0.3417 0.3417
Ag6 0.6583 0.6583 0.3417

ΔE to the lowest computed polymorph (eV/atom): 0.3963
SG: Fm-3m, No. 225
Formation energy (eV per atom): 0.806
Crystal system: cubic

***

9.
This record from Alexandria describes Na3SnP after structural relaxation. The functional is GGA-PBE.

a b c (Å): 5.9321 5.9321 5.9321
angles (deg): 90.00 90.00 90.00
Last column: magnetic moment on the atom in μB.
Positions (direct):
P1 0.5000 0.5000 0.5000  0.89
Sn1 0.0000 0.0000 0.0000  0.66
Na1 0.0000 0.5000 0.0000  0.03
Na2 0.0000 0.0000 0.5000  0.04
Na3 0.5000 0.0000 0.0000  0.01

ΔE to the lowest computed polymorph (eV/atom): 0.8585
SG: Pm-3m, No. 221
Formation energy (eV per atom): 0.619
Crystal system: cubic

***

10.
This record from Alexandria describes MnCrOs2 after structural relaxation. The functional is GGA-PBE.

a b c (Å): 2.6698 3.6615 5.3443
angles (deg): 90.00 90.00 90.00
Last column: magnetic moment on the atom in μB.
Positions (direct):
Cr1 0.5000 0.5000 0.2500  0.05
Mn1 0.5000 0.5000 0.7500  1.50
Os1 0.0000 0.0000 0.9998  -0.13
Os2 0.0000 0.0000 0.5002  -0.13

SG: Pmmm, No. 47
Formation energy (eV per atom): 0.095
Crystal system: orthorhombic

***

11.
This record from Alexandria describes TlNiOs2 after structural relaxation. The functional is GGA-PBE.

a b c (Å): 5.2533 5.2533 5.2533
angles (deg): 146.96 127.72 63.25
Positions (direct):
Ni1 0.2438 0.7438 0.5000
Os1 0.0061 0.0061 0.0000
Os2 0.7610 0.2610 0.5000
Tl1 0.4891 0.4891 0.0000

ΔE to the lowest computed polymorph (eV/atom): 0.3814
SG: Imm2, No. 44
Formation energy (eV per atom): 0.851
Crystal system: orthorhombic

***

12.
This record from Alexandria describes CrTe3Pt after structural relaxation. The functional is GGA-PBE.

a b c (Å): 5.0115 5.0115 5.0115
angles (deg): 90.00 90.00 90.00
Last column: magnetic moment on the atom in μB.
Positions (direct):
Cr1 0.0000 0.0000 0.0000  2.00
Te1 0.0000 0.5000 0.0000  -0.10
Te2 0.0000 0.0000 0.5000  -0.04
Te3 0.5000 0.0000 0.0000  -0.10
Pt1 0.5000 0.5000 0.5000  -0.18

ΔE to the lowest computed polymorph (eV/atom): 0.0000
SG: Pm-3m, No. 221
Crystal system: cubic

***

| no. | D(E_F) (states/eV per atom) | total magnetic moment (μB/f.u.) | raw total energy (eV/atom) |
| --- | --- | --- | --- |
| 1 | 1.01 | 1.47 | -4.18 |
| 2 | 1.10 | 0.00 | -2.52 |
| 3 | 0.65 | 0.00 | -2.85 |
| 4 | 0.65 | 3.91 | -5.44 |
| 5 | 0.25 | 0.00 | -2.31 |
| 6 | 1.23 | 0.00 | -3.99 |
| 7 | 1.09 | 0.00 | -4.60 |
| 8 | 0.84 | 0.00 | -1.60 |
| 9 | 0.30 | 4.00 | -2.05 |
| 10 | 1.13 | 1.33 | -10.22 |
| 11 | 0.83 | 0.00 | -6.80 |
| 12 | 1.45 | 1.63 | -4.26 |